Record 1
A crystal of La2MnCl relaxed with PBEsol, computed with SCAN.

Geometry as POSCAR:
```
La2MnCl
1.0
-0.3911 -1.1643 3.1338
-2.7691 -1.6551 -0.9605
4.4603 -6.4046 -1.8229
La Mn Cl
2 1 1
Cartesian
3.4876 -5.0079 -1.4254 La
0.9727 -1.3966 -0.3975 La
-1.5801 -1.4097 1.0867 Mn
0.6500 -4.6120 0.1752 Cl
```

Computed properties:
N(E_F): 4.0 states/eV/f.u.
space-group type: P4/mmm, No. 123
final energy: -28.79 eV per atom
energy above the lowest structure with this stoichiometry: 0.000 eV per atom
formation energy without anion corrections: -0.676 eV/atom

---

Record 2
A crystal of LaMn2SnCl relaxed with PBEsol, computed with SCAN.

Geometry as POSCAR:
```
LaMn2SnCl
1.0
4.5543 0.0000 0.0000
0.0000 4.5543 0.0000
0.0000 0.0000 5.3135
Mn Cl La Sn
2 1 1 1
Cartesian
0.0000 2.2772 0.0000 Mn
2.2772 0.0000 0.0000 Mn
0.0000 0.0000 0.0000 Cl
0.0000 0.0000 2.6567 La
2.2772 2.2772 2.6567 Sn
```

Computed properties:
N(E_F): 2.9 states/eV/f.u.
space-group type: P4/mmm, No. 123
final energy: -24.89 eV per atom
formation energy without anion corrections: -0.184 eV/atom

---

Record 3
A crystal of LaMoCl2 relaxed with PBEsol, computed with SCAN.

Geometry as POSCAR:
```
LaMoCl2
1.0
3.4193 0.0000 0.0000
0.0000 4.8227 0.0000
-1.7096 -2.4113 5.4040
Cl Mo La
2 1 1
Cartesian
1.7096 2.4113 1.8075 Cl
0.0000 0.0000 3.5965 Cl
0.0000 2.4113 0.0000 Mo
1.7096 0.0000 0.0000 La
```

Computed properties:
N(E_F): 1.8 states/eV/f.u.
space-group type: Immm, No. 71
final energy: -24.24 eV per atom
energy above the lowest structure with this stoichiometry: 0.001 eV per atom
formation energy without anion corrections: -0.754 eV/atom

---

Record 4
A crystal of LaMoCl2 relaxed with PBEsol, computed with SCAN.

Geometry as POSCAR:
```
LaMoCl2
1.0
-1.1115 3.3421 0.1946
-3.1957 -0.9981 -1.1108
-1.8923 -0.9985 6.3411
Cl La Mo
2 1 1
Cartesian
-0.4461 -0.2354 1.4949 Cl
-1.4462 -0.7631 4.8462 Cl
-2.1536 1.1720 -0.4581 La
-3.0998 0.6728 2.7124 Mo
```

Computed properties:
N(E_F): 1.6 states/eV/f.u.
space-group type: P4/mmm, No. 123
final energy: -23.87 eV per atom
energy above the lowest structure with this stoichiometry: 0.376 eV per atom
formation energy without anion corrections: -0.379 eV/atom